Zn2HgMo after structural relaxation. Source: Alexandria, functional PBE.

Cell lengths 9.5633, 9.5633, 9.5633 Å; angles 17.58, 17.58, 17.58 degrees
Closest atoms and distances in Å follow each position.
Fractional positions:
Hg  0.2500  0.2500  0.2500  6 Hg 2.92, 6 Zn 3.06
Mo  0.7500  0.7500  0.7500  6 Zn 2.73, 6 Mo 2.92
Zn  0.0072  0.0072  0.0072  3 Mo 2.73, 6 Zn 2.92
Zn  0.4928  0.4928  0.4928  3 Mo 2.73, 6 Zn 2.92

Output
The value obtained for the raw total energy is -3.153 eV per atom. Its space group is R-3m.

---

Zn2HgMo after structural relaxation. Source: Alexandria, functional PBE.

Cell lengths 2.7963, 2.7963, 8.7685 Å; angles 90.00, 90.00, 90.00 degrees
Closest atoms and distances in Å follow each position.
Fractional positions:
Hg  0.5000  0.5000  0.2500  4 Hg 2.80, 8 Zn 3.12
Mo  0.5000  0.5000  0.7500  8 Zn 2.79, 4 Mo 2.80
Zn  0.0000  0.0000  0.9744  4 Mo 2.79, 4 Zn 2.80, 4 Hg 3.12
Zn  0.0000  0.0000  0.5256  4 Mo 2.79, 4 Zn 2.80, 4 Hg 3.12

Output
The value obtained for the raw total energy is -3.213 eV per atom. Its space group is P4/mmm.

---

ZnHgMo3 after structural relaxation. Source: Alexandria, functional PBE.

Cell lengths 4.5875, 4.5875, 4.5875 Å; angles 90.00, 90.00, 90.00 degrees
Closest atoms and distances in Å follow each position.
Fractional positions:
Zn  0.0000  0.0000  0.0000  6 Mo 2.29
Mo  0.0000  0.5000  0.0000  2 Zn 2.29
Mo  0.0000  0.0000  0.5000  2 Zn 2.29
Mo  0.5000  0.0000  0.0000  2 Zn 2.29
Hg  0.5000  0.5000  0.5000  12 Mo 3.24

Output
The value obtained for the offset from the most stable computed form is 0 meV/atom. Its space group is Pm-3m.

---

Zn2HgMo after structural relaxation. Source: Alexandria, functional PBE.

Cell lengths 4.9398, 4.9398, 4.9398 Å; angles 131.27, 131.27, 71.39 degrees
Closest atoms and distances in Å follow each position.
Fractional positions:
Hg  0.2500  0.7500  0.5000  8 Zn 2.86, 4 Mo 2.88
Mo  0.7500  0.2500  0.5000  8 Zn 2.86, 4 Hg 2.88
Zn  0.0000  0.0000  0.0000  4 Hg 2.86, 4 Mo 2.86, 4 Zn 2.88
Zn  0.5000  0.5000  0.0000  4 Mo 2.86, 4 Hg 2.86, 4 Zn 2.88

Output
The value obtained for the raw total energy is -2.983 eV per atom. Its space group is I4/mmm.

---

Zn2HgMo after structural relaxation. Source: Alexandria, functional PBE.

Cell lengths 4.1074, 4.1089, 3.8557 Å; angles 90.00, 90.00, 90.00 degrees
Closest atoms and distances in Å follow each position.
Fractional positions:
Hg  0.5000  0.0000  0.5000  8 Zn 2.82, 4 Mo 2.90
Mo  0.0000  0.5000  0.5000  8 Zn 2.82, 4 Hg 2.90
Zn  0.0000  0.0000  0.0000  4 Hg 2.82, 4 Mo 2.82, 4 Zn 2.90
Zn  0.5000  0.5000  0.0000  4 Mo 2.82, 4 Hg 2.82, 4 Zn 2.90

Output
The value obtained for the raw total energy is -3.212 eV per atom. Its space group is P4/mmm.

---

Zn2HgMo after structural relaxation. Source: Alexandria, functional PBE.

Cell lengths 7.1449, 7.1449, 5.7891 Å; angles 51.90, 51.90, 90.00 degrees
Closest atoms and distances in Å follow each position.
Fractional positions:
Zn  0.6225  0.1250  0.2500  2 Mo 2.61, 2 Hg 2.64, 2 Zn 2.83
Zn  0.1275  0.6250  0.2500  2 Mo 2.61, 2 Hg 2.64, 2 Zn 2.83
Zn  0.3750  0.3775  0.7500  2 Mo 2.61, 2 Hg 2.64, 2 Zn 2.83
Zn  0.8750  0.8725  0.7500  2 Mo 2.61, 2 Hg 2.64, 2 Zn 2.83
Mo  0.5000  0.5000  0.0000  4 Zn 2.61, 2 Hg 2.83
Mo  0.2500  0.7500  0.5000  4 Zn 2.61, 2 Hg 2.83
Hg  0.0000  0.0000  0.0000  4 Zn 2.64, 2 Mo 2.83
Hg  0.7500  0.2500  0.5000  4 Zn 2.64, 2 Mo 2.83

Output
The value obtained for the raw total energy is -2.815 eV per atom. Its space group is I-42d.

---

Zn2HgMo after structural relaxation. Source: Alexandria, functional PBE.

Cell lengths 5.4378, 5.4378, 2.7685 Å; angles 77.21, 77.21, 115.77 degrees
Closest atoms and distances in Å follow each position.
Fractional positions:
Hg  0.5000  0.0000  0.5000  4 Zn 2.76, 2 Hg 2.77, 4 Mo 2.89-3.06
Mo  0.0000  0.5000  0.5000  4 Zn 2.76, 2 Mo 2.77, 4 Hg 2.89-3.06
Zn  0.0000  0.0000  0.0000  2 Hg 2.76, 2 Mo 2.76, 6 Zn 2.77-3.06
Zn  0.5000  0.5000  0.0000  2 Mo 2.76, 2 Hg 2.76, 6 Zn 2.77-3.06

Output
The value obtained for the raw total energy is -3.135 eV per atom. Its space group is C2/m.

---

Zn2HgMo after structural relaxation. Source: Alexandria, functional PBE.

Cell lengths 4.3291, 2.8405, 5.5470 Å; angles 75.32, 90.00, 90.00 degrees
Closest atoms and distances in Å follow each position.
Fractional positions:
Hg  0.0000  0.4440  0.4860  5 Zn 2.65-2.89, 2 Hg 2.84
Mo  0.5000  0.7931  0.7869  7 Zn 2.79-2.89, 2 Mo 2.84, 4 Hg 3.05
Zn  0.0000  0.1976  0.9796  4 Zn 2.60-2.84, 1 Hg 2.65, 4 Mo 2.79
Zn  0.5000  0.0653  0.2475  4 Zn 2.60-2.84, 3 Mo 2.85-2.89, 4 Hg 2.88-2.89

Output
The value obtained for the raw total energy is -3.125 eV per atom. Its space group is Pm.